Entry 1:
The following is a GGA-PBE calculation of a relaxed TlAu crystal, from the Alexandria database.

Calculated values
DOS(E_F): 7.95 states/eV/cell
crystal system: orthorhombic
energy: -90.8 eV for the cell shown

abc: 7.546 9.014 11.798
angles: 90.00 90.00 90.00
Positions (direct):
Au (0.687, 0.500, 0.000)
Au (0.563, 0.250, 0.250)
Au (0.187, 0.500, 0.500)
Au (0.313, 0.500, 0.000)
Au (0.437, 0.750, 0.250)
Au (0.813, 0.500, 0.500)
Au (0.813, 0.000, 0.000)
Au (0.937, 0.750, 0.750)
Au (0.187, 0.000, 0.000)
Au (0.063, 0.750, 0.250)
Au (0.063, 0.250, 0.750)
Au (0.563, 0.750, 0.750)
Au (0.313, 0.000, 0.500)
Au (0.687, 0.000, 0.500)
Au (0.937, 0.250, 0.250)
Au (0.437, 0.250, 0.750)
Tl (0.000, 0.799, 0.500)
Tl (0.750, 0.549, 0.250)
Tl (0.750, 0.951, 0.250)
Tl (0.250, 0.549, 0.750)
Tl (0.250, 0.451, 0.250)
Tl (0.500, 0.299, 0.500)
Tl (0.000, 0.299, 0.000)
Tl (0.500, 0.201, 0.000)
Tl (0.000, 0.201, 0.500)
Tl (0.250, 0.049, 0.250)
Tl (0.250, 0.951, 0.750)
Tl (0.500, 0.701, 0.500)
Tl (0.750, 0.451, 0.750)
Tl (0.500, 0.799, 0.000)
Tl (0.750, 0.049, 0.750)
Tl (0.000, 0.701, 0.000)

***

Entry 2:
The following is a GGA-PBE calculation of a relaxed YCl crystal, from the Alexandria database.

Calculated values
E_form (uncorrected): -1206 meV per atom
DOS(E_F): 1.73 states/eV/cell
crystal system: hexagonal
energy: -21.4 eV for the cell shown

abc: 3.536 3.536 8.773
angles: 90.00 90.00 120.00
Positions (direct):
Y (0.667, 0.333, 0.750)
Y (0.333, 0.667, 0.250)
Cl (0.000, 0.000, 0.000)
Cl (0.000, 0.000, 0.500)

***

Which of these has the lowest energy?
TlAu

***

Which of these has the highest energy?
YCl